## FeSn2SI (GGA-PBEsol)

Data for an optimized crystal structure of FeSn2SI.

a b c (Å): 4.9844 4.9844 4.7615
angles (deg): 90.00 90.00 90.00
Closest atoms and distances in Å follow each position.
Fractional positions:
Fe: 0.0000 0.0000 0.0000  2 I 2.38, 4 Sn 2.49
Sn: 0.0000 0.5000 0.0000  2 Fe 2.49
Sn: 0.5000 0.0000 0.0000  2 Fe 2.49
S: 0.5000 0.5000 0.5000  8 Sn 3.45, 4 I 3.52
I: 0.0000 0.0000 0.5000  2 Fe 2.38

- crystal system = tetragonal
- SG = No. 123
- E_form (uncorrected) (eV/f.u.) = 1.4



## CrPdI2O (GGA-PBEsol)

Data for an optimized crystal structure of CrPdI2O.

a b c (Å): 5.4737 5.4737 3.8219
angles (deg): 90.00 90.00 90.00
Closest atoms and distances in Å follow each position.
Fractional positions:
Cr: 0.0000 0.0000 0.0000  8 I 3.34
Pd: 0.5000 0.5000 0.5000  2 O 1.91
I: 0.0000 0.5000 0.5000  2 Pd 2.74
I: 0.5000 0.0000 0.5000  2 Pd 2.74
O: 0.5000 0.5000 0.0000  2 Pd 1.91

- crystal system = tetragonal
- SG = No. 123
- E_form (uncorrected) (eV/f.u.) = 1.4



## La2Se3O9 (GGA-PBEsol)

Data for an optimized crystal structure of La2Se3O9.

a b c (Å): 8.4321 14.1476 7.0458
angles (deg): 90.00 90.00 90.00
Closest atoms and distances in Å follow each position.
Fractional positions:
La: 0.1981 0.0633 0.1818  9 O 2.45-2.74
La: 0.1981 0.4367 0.1818  9 O 2.45-2.74
La: 0.3019 0.5633 0.6818  9 O 2.45-2.74
La: 0.3019 0.9367 0.6818  9 O 2.45-2.74
La: 0.6981 0.0633 0.3182  9 O 2.45-2.74
La: 0.6981 0.4367 0.3182  9 O 2.45-2.74
La: 0.8019 0.5633 0.8182  9 O 2.45-2.74
La: 0.8019 0.9367 0.8182  9 O 2.45-2.74
Se: 0.0441 0.7500 0.9104  3 O 1.72-1.73
Se: 0.0470 0.1263 0.6800  3 O 1.70-1.74
Se: 0.0470 0.3737 0.6800  3 O 1.70-1.74
Se: 0.4530 0.6263 0.1800  3 O 1.70-1.74
Se: 0.4530 0.8737 0.1800  3 O 1.70-1.74
Se: 0.4559 0.2500 0.4104  3 O 1.72-1.73
Se: 0.5441 0.7500 0.5896  3 O 1.72-1.73
Se: 0.5470 0.1263 0.8200  3 O 1.70-1.74
Se: 0.5470 0.3737 0.8200  3 O 1.70-1.74
Se: 0.9530 0.6263 0.3200  3 O 1.70-1.74
Se: 0.9530 0.8737 0.3200  3 O 1.70-1.74
Se: 0.9559 0.2500 0.0896  3 O 1.72-1.73
O: 0.0568 0.6541 0.7600  1 Se 1.73
O: 0.0568 0.8459 0.7600  1 Se 1.73
O: 0.0744 0.0402 0.8534  1 Se 1.74
O: 0.0744 0.4598 0.8534  1 Se 1.74
O: 0.1170 0.5739 0.4142  1 Se 1.70
O: 0.1170 0.9261 0.4142  1 Se 1.70
O: 0.1582 0.2500 0.0636  1 Se 1.72
O: 0.2039 0.1000 0.5332  1 Se 1.72
O: 0.2039 0.4000 0.5332  1 Se 1.72
O: 0.2961 0.6000 0.0332  1 Se 1.72
O: 0.2961 0.9000 0.0332  1 Se 1.72
O: 0.3418 0.7500 0.5636  1 Se 1.72
O: 0.3830 0.0739 0.9142  1 Se 1.70
O: 0.3830 0.4261 0.9142  1 Se 1.70
O: 0.4256 0.5402 0.3534  1 Se 1.74
O: 0.4256 0.9598 0.3534  1 Se 1.74
O: 0.4432 0.1541 0.2600  1 Se 1.73
O: 0.4432 0.3459 0.2600  1 Se 1.73
O: 0.5568 0.6541 0.7400  1 Se 1.73
O: 0.5568 0.8459 0.7400  1 Se 1.73
O: 0.5744 0.0402 0.6466  1 Se 1.74
O: 0.5744 0.4598 0.6466  1 Se 1.74
O: 0.6170 0.5739 0.0858  1 Se 1.70
O: 0.6170 0.9261 0.0858  1 Se 1.70
O: 0.6582 0.2500 0.4364  1 Se 1.72
O: 0.7039 0.1000 0.9668  1 Se 1.72
O: 0.7039 0.4000 0.9668  1 Se 1.72
O: 0.7961 0.6000 0.4668  1 Se 1.72
O: 0.7961 0.9000 0.4668  1 Se 1.72
O: 0.8418 0.7500 0.9364  1 Se 1.72
O: 0.8830 0.0739 0.5858  1 Se 1.70
O: 0.8830 0.4261 0.5858  1 Se 1.70
O: 0.9256 0.5402 0.1466  1 Se 1.74
O: 0.9256 0.9598 0.1466  1 Se 1.74
O: 0.9432 0.1541 0.2400  1 Se 1.73
O: 0.9432 0.3459 0.2400  1 Se 1.73

- crystal system = orthorhombic
- SG = No. 62
- E_form (uncorrected) (eV/f.u.) = -26.7



## RbAlO2 (GGA-PBEsol)

Data for an optimized crystal structure of RbAlO2.

a b c (Å): 5.6872 5.6872 5.6872
angles (deg): 60.00 60.00 60.00
Closest atoms and distances in Å follow each position.
Fractional positions:
Rb: 0.1250 0.1250 0.1250  12 O 3.33, 4 Al 3.48, 4 Rb 3.48
Rb: 0.8750 0.8750 0.8750  12 O 3.33, 4 Rb 3.48, 4 Al 3.48
Al: 0.3750 0.3750 0.3750  4 O 1.74
Al: 0.6250 0.6250 0.6250  4 O 1.74
O: 0.0000 0.5000 0.5000  2 Al 1.74
O: 0.5000 0.0000 0.5000  2 Al 1.74
O: 0.5000 0.5000 0.0000  2 Al 1.74
O: 0.5000 0.5000 0.5000  2 Al 1.74

- crystal system = cubic
- SG = No. 227
- E_form (uncorrected) (eV/f.u.) = -10.1



## LaOsPb2 (GGA-PBEsol)

Data for an optimized crystal structure of LaOsPb2.

a b c (Å): 5.2866 5.2866 4.4847
angles (deg): 90.00 90.00 119.09
Closest atoms and distances in Å follow each position.
Fractional positions:
La: 0.0000 0.0000 0.0000  2 Os 2.68
Os: 0.5000 0.5000 0.0000  2 La 2.68, 4 Pb 2.75
Pb: 0.3253 0.6747 0.5000  2 Os 2.75, 2 Pb 3.01
Pb: 0.6747 0.3253 0.5000  2 Os 2.75, 2 Pb 3.01

- crystal system = orthorhombic
- SG = No. 65
- energy relative to the elements (eV per atom) = 0.11



## LiCuAg (GGA-PBEsol)

Data for an optimized crystal structure of LiCuAg.

a b c (Å): 4.2227 4.2227 2.6561
angles (deg): 90.00 90.00 120.00
Closest atoms and distances in Å follow each position.
Fractional positions:
Li: 0.0000 0.0000 0.0000  3 Cu 2.51, 3 Ag 2.62, 2 Li 2.66
Cu: 0.6667 0.3333 0.7781  3 Li 2.51, 2 Cu 2.66, 3 Ag 2.68
Ag: 0.3333 0.6667 0.3587  3 Li 2.62, 2 Ag 2.66, 6 Cu 2.68-2.88

- polymorph energy (0 for the lowest one) (kJ/mol of formula units) = 2
- crystal system = trigonal
- SG = No. 156
- energy relative to the elements (eV per atom) = -0.03



## TlRe2Rh (GGA-PBEsol)

Data for an optimized crystal structure of TlRe2Rh.

a b c (Å): 2.8589 2.8589 7.8138
angles (deg): 90.00 90.00 90.00
Closest atoms and distances in Å follow each position.
Fractional positions:
Tl: 0.0000 0.0000 0.0000  4 Tl 2.86, 4 Rh 2.90, 4 Re 3.01
Re: 0.0000 0.0000 0.5027  8 Re 2.64-2.86, 4 Rh 2.71
Re: 0.5000 0.5000 0.2860  8 Re 2.64-2.86
Rh: 0.5000 0.5000 0.7332  4 Re 2.71, 4 Rh 2.86, 4 Tl 2.90

- polymorph energy (0 for the lowest one) (kJ/mol of formula units) = 0
- crystal system = tetragonal
- SG = No. 99
- energy relative to the elements (eV per atom) = 0.31



## LaCd2Pt (GGA-PBEsol)

Data for an optimized crystal structure of LaCd2Pt.

a b c (Å): 4.9929 4.9929 4.9929
angles (deg): 120.79 119.22 90.00
Closest atoms and distances in Å follow each position.
Fractional positions:
La: 0.0000 0.0000 0.0000  4 Pt 3.04-3.07, 4 Cd 3.05-3.07
Cd: 0.4967 0.4967 0.0000  4 Pt 2.98-3.13, 4 Cd 3.01-3.10
Cd: 0.7422 0.2422 0.5000  4 Cd 3.01-3.10, 4 La 3.05-3.07
Pt: 0.2595 0.7595 0.5000  4 Cd 2.98-3.13, 4 La 3.04-3.07

- crystal system = orthorhombic
- SG = No. 44
- energy relative to the elements (eV per atom) = -0.48



Total energy for every record listed, in sequence, given in eV per atom: -4.454, -4.726, -6.871, -6.426, -6.279, -3.238, -9.049, -4.155.